Record 1
## SrPb (PBE)

Data for a relaxed structure of SrPb.

Unit cell a=5.485 b=5.485 c=5.485 alpha=60.00 beta=60.00 gamma=60.00
Fractional positions:
Sr: 0.000 0.000 0.000
Pb: 0.750 0.750 0.750

Properties
- Formation enthalpy at 0 K: 0.3165 eV/atom
- Fermi-level density of states: 3.8 states/eV/f.u.
- Magnetic moment: 0.948 μB/atom
- Total DFT energy (no corrections): -4.8 eV/cell

Record 2
## RhSeCl2 (PBE)

Data for a relaxed structure of RhSeCl2.

Unit cell a=5.199 b=5.110 c=4.291 alpha=66.48 beta=64.33 gamma=49.19
Fractional positions:
Rh: 0.000 0.000 0.000
Se: 0.500 0.500 0.500
Cl: 0.000 0.500 0.500
Cl: 0.500 0.000 0.000

Properties
- Fermi-level density of states: 2.9 states/eV/f.u.
- Magnetic moment: 0.000 μB/atom
- Total DFT energy (no corrections): -13.1 eV/cell
- ΔE to the lowest computed polymorph: 0.714 eV per atom

Record 3
## OsPb2 (PBE)

Data for a relaxed structure of OsPb2.

Unit cell a=5.528 b=5.528 c=8.681 alpha=98.99 beta=98.99 gamma=33.43
Fractional positions:
Os: 0.000 0.000 0.000
Os: 0.644 0.644 0.204
Pb: 0.138 0.138 0.487
Pb: 0.376 0.376 0.230
Pb: 0.427 0.427 0.701
Pb: 0.715 0.715 0.898

Properties
- Formation enthalpy at 0 K: 0.5998 eV/atom
- Fermi-level density of states: 2.8 states/eV/f.u.
- Magnetic moment: 0.000 μB/atom
- Total DFT energy (no corrections): -33.7 eV/cell

Record 4
## Tb3SmCd (PBE)

Data for a relaxed structure of Tb3SmCd.

Unit cell a=6.757 b=6.757 c=12.684 alpha=93.28 beta=93.28 gamma=31.75
Fractional positions:
Tb: 0.037 0.037 0.189
Tb: 0.146 0.146 0.447
Tb: 0.366 0.366 0.023
Tb: 0.634 0.634 0.977
Tb: 0.854 0.854 0.553
Tb: 0.963 0.963 0.811
Sm: 0.232 0.232 0.753
Sm: 0.768 0.768 0.247
Cd: 0.444 0.444 0.373
Cd: 0.556 0.556 0.627

Properties
- Formation enthalpy at 0 K: -0.1091 eV/atom
- Fermi-level density of states: 6.9 states/eV/f.u.
- Magnetic moment: 0.000 μB/atom
- Total DFT energy (no corrections): -40.1 eV/cell
- ΔE to the lowest computed polymorph: 0.000 eV per atom

Record 5
## SiRuCl3 (PBE)

Data for a relaxed structure of SiRuCl3.

Unit cell a=4.771 b=4.771 c=4.771 alpha=90.00 beta=90.00 gamma=90.00
Fractional positions:
Si: 0.000 0.000 0.000
Ru: 0.500 0.500 0.500
Cl: 0.000 0.500 0.500
Cl: 0.500 0.000 0.500
Cl: 0.500 0.500 0.000

Properties
- Fermi-level density of states: 3.1 states/eV/f.u.
- Magnetic moment: 0.004 μB/atom
- Total DFT energy (no corrections): -18.4 eV/cell
- ΔE to the lowest computed polymorph: 0.000 eV per atom

Record 6
## BeMoAu (PBE)

Data for a relaxed structure of BeMoAu.

Unit cell a=4.142 b=4.142 c=2.901 alpha=90.00 beta=90.00 gamma=120.00
Fractional positions:
Be: 0.000 0.000 0.000
Mo: 0.667 0.333 0.500
Au: 0.333 0.667 0.000

Properties
- Formation enthalpy at 0 K: 0.2681 eV/atom
- Fermi-level density of states: 2.8 states/eV/f.u.
- Magnetic moment: 0.000 μB/atom
- Total DFT energy (no corrections): -17.0 eV/cell
- ΔE to the lowest computed polymorph: 0.174 eV per atom

Record 7
## ScSiPt (PBE)

Data for a relaxed structure of ScSiPt.

Unit cell a=5.507 b=5.507 c=5.507 alpha=146.73 beta=146.73 gamma=47.76
Fractional positions:
Sc: 0.000 0.000 0.000
Si: 0.687 0.687 0.000
Pt: 0.308 0.308 0.000

Properties
- Fermi-level density of states: 2.2 states/eV/f.u.
- Magnetic moment: 0.038 μB/atom
- Total DFT energy (no corrections): -20.1 eV/cell

Record 8
## Na6CoBr8 (PBE)

Data for a relaxed structure of Na6CoBr8.

Unit cell a=8.440 b=8.440 c=8.440 alpha=60.00 beta=60.00 gamma=60.00
Fractional positions:
Na: 0.000 0.000 0.500
Na: 0.000 0.500 0.000
Na: 0.000 0.500 0.500
Na: 0.500 0.000 0.000
Na: 0.500 0.000 0.500
Na: 0.500 0.500 0.000
Co: 0.000 0.000 0.000
Br: 0.221 0.221 0.779
Br: 0.221 0.779 0.221
Br: 0.221 0.779 0.779
Br: 0.250 0.250 0.250
Br: 0.750 0.750 0.750
Br: 0.779 0.221 0.221
Br: 0.779 0.221 0.779
Br: 0.779 0.779 0.221

Properties
- Fermi-level density of states: 11.0 states/eV/f.u.
- Magnetic moment: 0.200 μB/atom
- Total DFT energy (no corrections): -47.6 eV/cell

no.,calculated density (g/cm3)
1,4.197
2,5.478
3,13.929
4,8.074
5,3.600
6,11.634
7,8.894
8,3.265